# 1
PBE-GGA LaNiP2Ir, relaxed; total DFT energy (no corrections) = -0.5188 Ry/atom; offset from the most stable computed form = 0 meV/atom; calculated density = 9.03 g/cm³; calculated volume = 166.2 Å³/cell; magnetic moment = 0.001 μB per formula unit
1.0
4.2114 0.0000 0.0000
0.0000 4.2114 0.0000
0.0000 0.0000 9.3686
Ir P La Ni
2 4 2 2
Direct
0.0000 0.5000 0.3858
0.5000 0.0000 0.6142
0.5000 0.5000 0.5000
0.0000 0.5000 0.1250
0.0000 0.0000 0.5000
0.5000 0.0000 0.8750
0.5000 0.0000 0.2463
0.0000 0.5000 0.7537
0.5000 0.5000 0.0000
0.0000 0.0000 0.0000

---

# 2
PBE-GGA DyErPt2, relaxed; total DFT energy (no corrections) = -0.4866 Ry/atom; calculated density = 13.74 g/cm³; energy of formation = -1.301 eV per atom; calculated volume = 174.0 Å³/cell; magnetic moment = 0.020 μB per formula unit
1.0
4.4954 0.0000 0.0000
0.0000 5.5423 0.0000
0.0000 0.0000 6.9857
Pt Er Dy
4 2 2
Direct
0.0000 0.5946 0.4562
0.5000 0.9071 0.5442
0.5000 0.0929 0.0442
0.0000 0.4054 0.9562
0.0000 0.8912 0.8181
0.0000 0.1088 0.3181
0.5000 0.3910 0.6815
0.5000 0.6090 0.1815

---

# 3
PBE-GGA LuCo2Mo, relaxed; total DFT energy (no corrections) = -0.5195 Ry/atom; calculated density = 11.04 g/cm³; energy of formation = 0.328 eV per atom; calculated volume = 58.5 Å³/cell; magnetic moment = 0.959 μB per formula unit
1.0
1.9180 2.5956 2.9259
-2.4282 2.4145 2.6926
-0.1864 -0.9853 4.2392
Mo Co Lu
1 2 1
Direct
0.5000 0.5000 0.5000
0.2500 0.2500 0.2500
0.0000 0.0000 0.0000
0.7500 0.7500 0.7500

---

# 4
PBE-GGA ThCoMo, relaxed; total DFT energy (no corrections) = -0.5433 Ry/atom; offset from the most stable computed form = 585 meV/atom; calculated density = 10.45 g/cm³; energy of formation = 1.064 eV per atom; calculated volume = 61.5 Å³/cell; magnetic moment = 1.278 μB per formula unit
1.0
0.0000 3.1323 3.1323
3.1323 0.0000 3.1323
3.1323 3.1323 0.0000
Th Mo Co
1 1 1
Direct
0.2500 0.2500 0.2500
0.5000 0.5000 0.5000
0.0000 0.0000 0.0000